No. 1
Material: CaFeAsSe2
Method: DFT, PBE
State: relaxed

a b c (Å): 5.334 5.334 5.368
angles (deg): 90.00 90.00 90.00
Space group P4/mmm (No. 123)
One atom of each set of equivalent atoms:
Ca1 0.000 0.000 0.000 (multiplicity 1)
Fe1 0.500 0.500 0.500 (multiplicity 1)
As1 0.000 0.000 0.500 (multiplicity 1)
Se1 0.000 0.500 0.000 (multiplicity 2)

Summary:
The uncorrected formation energy is 0.779 eV/atom. As for the density of states at the Fermi level: 7.99 states/eV per cell. The calculation puts the energy relative to the lowest polymorph listed for this composition at 1197.6 meV/atom. As for the magnetic moment: 3.27 Bohr magnetons per cell. The calculation puts the uncorrected energy at -18.19 eV per cell. The density is 3574 kg/m³.

No. 2
Material: SrCa2Fe6As6
Method: DFT, PBE
State: relaxed

a b c (Å): 15.597 5.644 6.058
angles (deg): 90.00 105.89 90.00
Space group C2/m (No. 12)
One atom of each set of equivalent atoms:
Sr1 0.000 0.000 0.000 (multiplicity 2)
Ca1 0.167 0.500 0.335 (multiplicity 4)
Fe1 0.000 0.251 0.500 (multiplicity 4)
Fe2 0.168 0.250 0.833 (multiplicity 8)
As1 0.048 0.500 0.812 (multiplicity 4)
As2 0.120 0.000 0.522 (multiplicity 4)
As3 0.214 0.000 0.147 (multiplicity 4)

Summary:
As for the density of states at the Fermi level: 16.67 states/eV per cell. As for the magnetic moment: 0.00 Bohr magnetons per cell. The calculation puts the uncorrected energy at -184.57 eV per cell. The calculation puts the formation energy at -7.9 eV/f.u. The density is 6168 kg/m³.

No. 3
Material: CaFeTcAs2
Method: DFT, PBE
State: relaxed

a b c (Å): 4.088 4.088 10.814
angles (deg): 90.00 90.00 90.00
Space group I-4m2 (No. 119)
One atom of each set of equivalent atoms:
Ca1 0.000 0.000 0.000 (multiplicity 2)
Fe1 0.000 0.500 0.750 (multiplicity 2)
Tc1 0.000 0.500 0.250 (multiplicity 2)
As1 0.000 0.000 0.369 (multiplicity 4)

Summary:
As for the density of states at the Fermi level: 7.40 states/eV per cell. As for the magnetic moment: 2.68 Bohr magnetons per cell. The calculation puts the uncorrected energy at -65.09 eV per cell. The calculation puts the formation energy at -2.4 eV/f.u. The density is 6318 kg/m³.

No. 4
Material: CaTiFe2As
Method: DFT, PBE
State: relaxed

a b c (Å): 4.338 4.338 5.683
angles (deg): 90.00 90.00 90.00
Space group P4/mmm (No. 123)
One atom of each set of equivalent atoms:
Ca1 0.000 0.000 0.000 (multiplicity 1)
Ti1 0.000 0.000 0.500 (multiplicity 1)
Fe1 0.000 0.500 0.500 (multiplicity 2)
As1 0.500 0.500 0.000 (multiplicity 1)

Summary:
As for the density of states at the Fermi level: 3.83 states/eV per cell. As for the magnetic moment: 2.90 Bohr magnetons per cell. The calculation puts the uncorrected energy at -27.10 eV per cell. The calculation puts the formation energy at 4.4 eV/f.u. The density is 4263 kg/m³.

No. 5
Material: CaVFe2As
Method: DFT, PBE
State: relaxed

a b c (Å): 4.540 4.540 4.729
angles (deg): 90.00 90.00 90.00
Space group P4/mmm (No. 123)
One atom of each set of equivalent atoms:
Ca1 0.000 0.000 0.000 (multiplicity 1)
V1 0.500 0.500 0.000 (multiplicity 1)
Fe1 0.000 0.500 0.500 (multiplicity 2)
As1 0.500 0.500 0.500 (multiplicity 1)

Summary:
As for the density of states at the Fermi level: 4.52 states/eV per cell. As for the magnetic moment: 1.66 Bohr magnetons per cell. The calculation puts the uncorrected energy at -30.53 eV per cell. The calculation puts the formation energy at 2.2 eV/f.u. The density is 4730 kg/m³.

No. 6
Material: CaY2FeAs
Method: DFT, PBE
State: relaxed

a b c (Å): 5.382 5.382 5.366
angles (deg): 90.00 90.00 90.00
Space group P4/mmm (No. 123)
One atom of each set of equivalent atoms:
Ca1 0.000 0.000 0.000 (multiplicity 1)
Y1 0.000 0.500 0.500 (multiplicity 2)
Fe1 0.500 0.500 0.000 (multiplicity 1)
As1 0.000 0.000 0.500 (multiplicity 1)

Summary:
As for the density of states at the Fermi level: 8.02 states/eV per cell. As for the magnetic moment: 0.49 Bohr magnetons per cell. The calculation puts the uncorrected energy at -26.18 eV per cell. The calculation puts the formation energy at 1.9 eV/f.u. The density is 3725 kg/m³.

No. 7
Material: Ca3GaAs3
Method: DFT, PBE
State: relaxed

a b c (Å): 18.640 6.333 12.187
angles (deg): 90.00 90.00 90.00
Space group Cmce (No. 64)
One atom of each set of equivalent atoms:
Ca1 0.000 0.183 0.146 (multiplicity 8)
Ca2 0.178 0.193 0.870 (multiplicity 16)
Ga1 0.088 0.000 0.500 (multiplicity 8)
As1 0.000 0.216 0.389 (multiplicity 8)
As2 0.162 0.222 0.625 (multiplicity 16)

Summary:
As for the magnetic moment: 0.00 Bohr magnetons per cell. The calculation puts the uncorrected energy at -239.53 eV per cell. The calculation puts the formation energy at -7.0 eV/f.u. The density is 3830 kg/m³.

No. 8
Material: CaGaAs
Method: DFT, PBE
State: relaxed

a b c (Å): 4.288 4.910 14.471
angles (deg): 90.00 90.00 90.00
Space group Immm (No. 71)
One atom of each set of equivalent atoms:
Ca1 0.000 0.000 0.149 (multiplicity 4)
Ga1 0.000 0.263 0.500 (multiplicity 4)
As1 0.000 0.000 0.352 (multiplicity 4)

Summary:
As for the density of states at the Fermi level: 5.67 states/eV per cell. The calculation puts the energy relative to the lowest polymorph listed for this composition at 228.9 meV/atom. As for the magnetic moment: 0.00 Bohr magnetons per cell. The calculation puts the uncorrected energy at -45.44 eV per cell. The calculation puts the formation energy at -1.7 eV/f.u. The density is 4027 kg/m³.

No. 9
Material: CaGaAs3
Method: DFT, PBE
State: relaxed

a b c (Å): 5.382 5.382 5.382
angles (deg): 90.00 90.00 90.00
Space group Pm-3m (No. 221)
One atom of each set of equivalent atoms:
Ca1 0.000 0.000 0.000 (multiplicity 1)
Ga1 0.500 0.500 0.500 (multiplicity 1)
As1 0.000 0.000 0.500 (multiplicity 3)

Summary:
As for the density of states at the Fermi level: 3.88 states/eV per cell. The calculation puts the energy relative to the lowest polymorph listed for this composition at 611.7 meV/atom. As for the magnetic moment: 0.00 Bohr magnetons per cell. The calculation puts the uncorrected energy at -15.63 eV per cell. The calculation puts the formation energy at 3.4 eV/f.u. The density is 3563 kg/m³.

No. 10
Material: CaGa2As
Method: DFT, PBE
State: relaxed

a b c (Å): 7.928 7.928 5.842
angles (deg): 90.00 90.00 90.00
Space group I-42d (No. 122)
One atom of each set of equivalent atoms:
Ca1 0.000 0.000 0.000 (multiplicity 4)
Ga1 0.203 0.250 0.625 (multiplicity 8)
As1 0.000 0.000 0.500 (multiplicity 4)

Summary:
As for the density of states at the Fermi level: 4.94 states/eV per cell. As for the magnetic moment: 0.00 Bohr magnetons per cell. The calculation puts the uncorrected energy at -57.51 eV per cell. The calculation puts the formation energy at -1.7 eV/f.u. The density is 4603 kg/m³.

No. 11
Material: Ca5GaAs8
Method: DFT, PBE
State: relaxed

a b c (Å): 9.639 9.639 7.613
angles (deg): 90.00 90.00 90.00
Space group I-4 (No. 82)
One atom of each set of equivalent atoms:
Ca1 0.000 0.000 0.000 (multiplicity 2)
Ca2 0.181 0.246 0.323 (multiplicity 8)
Ga1 0.000 0.500 0.750 (multiplicity 2)
As1 0.012 0.296 0.943 (multiplicity 8)
As2 0.060 0.130 0.665 (multiplicity 8)

Summary:
As for the density of states at the Fermi level: 10.05 states/eV per cell. As for the magnetic moment: 0.00 Bohr magnetons per cell. The calculation puts the uncorrected energy at -119.95 eV per cell. The calculation puts the formation energy at -9.7 eV/f.u. The density is 4082 kg/m³.

No. 12
Material: Ca14GaAs11
Method: DFT, PBE
State: relaxed

a b c (Å): 15.703 15.703 21.260
angles (deg): 90.00 90.00 90.00
Space group I4_1/acd (No. 142, origin choice 2)
One atom of each set of equivalent atoms:
Ca1 0.024 0.123 0.007 (multiplicity 32)
Ca2 0.044 0.073 0.671 (multiplicity 32)
Ca3 0.148 0.000 0.250 (multiplicity 16)
Ca4 0.155 0.070 0.407 (multiplicity 32)
Ga1 0.000 0.250 0.375 (multiplicity 8)
As1 0.000 0.250 0.125 (multiplicity 8)
As2 0.004 0.114 0.308 (multiplicity 32)
As3 0.130 0.025 0.547 (multiplicity 32)
As4 0.134 0.116 0.125 (multiplicity 16)

Summary:
As for the magnetic moment: 0.00 Bohr magnetons per cell. The calculation puts the uncorrected energy at -897.67 eV per cell. The calculation puts the formation energy at -30.0 eV/f.u. The density is 3687 kg/m³.